Record 1
Here is a geometry-optimized TbPm6DyY2 structure from Alexandria. Energies are from PBE.

Properties
Calculated formation energy in meV per atom: 119.2
Space group: C2/c (15)
Crystal system: monoclinic

Cell: 9.5882 8.9460 8.9460 Å, 117.36 93.45 93.45°
Closest atoms and distances in Å follow each position.
Positions (direct):
Pm1 0.8132 0.4364 0.9891  1 Pm 3.25, 1 Dy 3.48, 1 Y 3.49, 1 Tb 3.57
Pm2 0.0562 0.1168 0.7614  7 Pm 3.46-3.76, 1 Y 3.51, 2 Tb 3.69-3.79
Pm3 0.9438 0.8832 0.2386  7 Pm 3.46-3.76, 1 Y 3.51, 2 Tb 3.69-3.79
Pm4 0.3826 0.5147 0.2922  4 Pm 3.25-3.63, 3 Y 3.32-3.50, 2 Dy 3.48-3.55
Pm5 0.5562 0.7614 0.1168  7 Pm 3.46-3.76, 1 Y 3.51, 2 Tb 3.69-3.79
Pm6 0.6174 0.4853 0.7078  4 Pm 3.25-3.63, 3 Y 3.32-3.50, 2 Dy 3.48-3.55
Pm7 0.4438 0.2386 0.8832  7 Pm 3.46-3.76, 1 Y 3.51, 2 Tb 3.69-3.79
Pm8 0.3132 0.9891 0.4364  1 Pm 3.25, 1 Dy 3.48, 1 Y 3.49, 1 Tb 3.57
Pm9 0.6868 0.0109 0.5636  1 Pm 3.25, 1 Dy 3.48, 1 Y 3.49, 1 Tb 3.57
Pm10 0.1174 0.7078 0.4853  4 Pm 3.25-3.63, 3 Y 3.32-3.50, 2 Dy 3.48-3.55
Pm11 0.8826 0.2922 0.5147  4 Pm 3.25-3.63, 3 Y 3.32-3.50, 2 Dy 3.48-3.55
Pm12 0.1868 0.5636 0.0109  1 Pm 3.25, 1 Dy 3.48, 1 Y 3.49, 1 Tb 3.57
Y1 0.5473 0.2014 0.2983  5 Pm 3.32-3.51, 2 Tb 3.42-3.47, 1 Dy 3.55
Y2 0.0473 0.2983 0.2014  5 Pm 3.32-3.51, 2 Tb 3.42-3.47, 1 Dy 3.55
Y3 0.9527 0.7017 0.7986  5 Pm 3.32-3.51, 2 Tb 3.42-3.47, 1 Dy 3.55
Y4 0.4527 0.7986 0.7017  5 Pm 3.32-3.51, 2 Tb 3.42-3.47, 1 Dy 3.55
Tb1 0.7500 0.0302 0.9698  4 Y 3.42-3.47, 6 Pm 3.57-3.79
Tb2 0.2500 0.9698 0.0302  4 Y 3.42-3.47, 6 Pm 3.57-3.79
Dy1 0.7500 0.5896 0.4104  6 Pm 3.48-3.55, 2 Y 3.55
Dy2 0.2500 0.4104 0.5896  6 Pm 3.48-3.55, 2 Y 3.55


Record 2
Here is a geometry-optimized Cu2GePt6 structure from Alexandria. Energies are from PBE.

Properties
Calculated formation energy in meV per atom: -83.9
Space group: C2/c (15)
Crystal system: monoclinic

Cell: 4.7222 7.7691 7.7691 Å, 80.22 83.79 83.79°
Closest atoms and distances in Å follow each position.
Positions (direct):
Pt1 0.9673 0.3981 0.7205  1 Ge 2.52, 4 Cu 2.53-2.79, 2 Pt 2.65-2.76
Pt2 0.2636 0.4061 0.0245  2 Cu 2.62-2.63, 1 Ge 2.64, 7 Pt 2.76-2.88
Pt3 0.5327 0.2795 0.6019  1 Ge 2.52, 4 Cu 2.53-2.79, 2 Pt 2.65-2.76
Pt4 0.2364 0.9755 0.5939  2 Cu 2.62-2.63, 1 Ge 2.64, 7 Pt 2.76-2.88
Pt5 0.7867 0.2069 0.0554  2 Ge 2.56-2.61, 1 Cu 2.66, 6 Pt 2.78-2.86
Pt6 0.2867 0.0554 0.2069  2 Ge 2.56-2.61, 1 Cu 2.66, 6 Pt 2.78-2.86
Pt7 0.4673 0.7205 0.3981  1 Ge 2.52, 4 Cu 2.53-2.79, 2 Pt 2.65-2.76
Pt8 0.0327 0.6019 0.2795  1 Ge 2.52, 4 Cu 2.53-2.79, 2 Pt 2.65-2.76
Pt9 0.2133 0.7931 0.9446  2 Ge 2.56-2.61, 1 Cu 2.66, 6 Pt 2.78-2.86
Pt10 0.7364 0.5939 0.9755  2 Cu 2.62-2.63, 1 Ge 2.64, 7 Pt 2.76-2.88
Pt11 0.7636 0.0245 0.4061  2 Cu 2.62-2.63, 1 Ge 2.64, 7 Pt 2.76-2.88
Pt12 0.7133 0.9446 0.7931  2 Ge 2.56-2.61, 1 Cu 2.66, 6 Pt 2.78-2.86
Ge1 0.2500 0.1305 0.8695  8 Pt 2.52-2.64
Ge2 0.7500 0.8695 0.1305  8 Pt 2.52-2.64
Cu1 0.5740 0.4183 0.2829  7 Pt 2.53-2.79, 2 Cu 2.72
Cu2 0.9260 0.7171 0.5817  7 Pt 2.53-2.79, 2 Cu 2.72
Cu3 0.4260 0.5817 0.7171  7 Pt 2.53-2.79, 2 Cu 2.72
Cu4 0.0740 0.2829 0.4183  7 Pt 2.53-2.79, 2 Cu 2.72